1:
VASP calculation (SCAN) on a crystal of Ca3Ag relaxed with PBEsol.

For the calculated volume, the calculation gives 129.9 Å³/f.u. Its crystal system is orthorhombic. The value obtained for the theoretical density is 2.92 Mg/m³. The density of states at the Fermi level is 13.26 states/eV/cell.

It has space group Pnma (No. 62), with a = 7.932 Å, b = 9.772 Å, c = 6.702 Å, α = 90.00°, β = 90.00° and γ = 90.00°. The inequivalent atoms are Ca at (0.032, 0.250, 0.131), Ca at (0.177, 0.060, 0.657) and Ag at (0.120, 0.750, 0.447).


2:
VASP calculation (SCAN) on a crystal of Ca3Ag relaxed with PBEsol.

For the calculated volume, the calculation gives 128.5 Å³/f.u. Its crystal system is orthorhombic. The value obtained for the theoretical density is 2.95 Mg/m³. The density of states at the Fermi level is 7.58 states/eV/cell.

It has space group Immm (No. 71), with a = 3.777 Å, b = 5.724 Å, c = 11.890 Å, α = 90.00°, β = 90.00° and γ = 90.00°. The inequivalent atoms are Ca at (0.000, 0.000, 0.000), Ca at (0.000, 0.500, 0.198) and Ag at (0.000, 0.000, 0.500).


Out of the structures above, which one is the most stable? Solution: 1.